A relaxed RePRh2 crystal. Source: Alexandria, functional PBEsol.

As for the total energy: -8.834 eV/atom. The calculation puts the size of the total moment at 0.0 μB per cell. As for the crystal system: orthorhombic.

It has space group Cmmm (No. 65), with a = 5.165 Å, b = 7.647 Å, c = 2.723 Å, α = 90.00°, β = 90.00° and γ = 90.00°. The inequivalent atoms are Re at (0.000, 0.000, 0.000), P at (0.000, 0.500, 0.000) and Rh at (0.250, 0.250, 0.500).